MnCoSb: optimized geometry, PBE.

a b c (Å): 3.9173 3.9173 7.7356
angles (deg): 90.00 90.00 120.00
Space group P-3m1 (No. 164)
Inequivalent atoms, fractional coordinates:
1 Mn 0.3333 0.6667 0.0279 x2
2 Co 0.0000 0.0000 0.1505 x2
3 Sb 0.3333 0.6667 0.6907 x2

The value obtained for the density of states at the Fermi level is 0.913 states/eV per atom. The calculation puts the uncorrected formation energy at 0.139 eV/atom. The magnetization comes out at 0.63 μB per formula unit.